# PBE with a Hubbard U NaVF2, optimized geometry
data_NaVF2
_space_group_name_H-M_alt 'I -4 2 d'
_space_group_IT_number 122
_space_group_name_Hall 'I -4 2bw'
_cell_length_a 5.5810
_cell_length_b 5.5810
_cell_length_c 8.4469
_cell_angle_alpha 90.00
_cell_angle_beta 90.00
_cell_angle_gamma 90.00
loop_
_atom_site_label
_atom_site_type_symbol
_atom_site_fract_x
_atom_site_fract_y
_atom_site_fract_z
_atom_site_occupancy
Na1 Na 0.0000 0.0000 0.0000 1
V1 V 0.0000 0.0000 0.5000 1
F1 F 0.2460 0.2500 0.6250 1
# - raw total energy (eV/cell) = -77.1
# - distance to the lowest polymorph of the same formula (meV/atom) = 197
# - calculated density (g/cm3) = 2.826
# - M_tot (μB per formula unit) = 3.87